P) Here is a relaxed structure of Co3PdBr from the Alexandria database. Energies are from GGA-PBE.

**Density of states at the Fermi level**: 8.0 states/eV/f.u.

Cell: 4.307 4.307 4.307 Å, 90.00 90.00 90.00°
Space group Pm-3m (No. 221)
Unique sites:
Co 0.000 0.000 0.500 [3 per cell]
Pd 0.500 0.500 0.500 [1 per cell]
Br 0.000 0.000 0.000 [1 per cell]

=====

Q) Here is a relaxed structure of Co3PdBr from the Alexandria database. Energies are from GGA-PBE.

**Density of states at the Fermi level**: 8.3 states/eV/f.u.

Cell: 4.690 4.690 4.690 Å, 90.00 90.00 90.00°
Space group Pm-3m (No. 221)
Unique sites:
Co 0.000 0.000 0.500 [3 per cell]
Pd 0.000 0.000 0.000 [1 per cell]
Br 0.500 0.500 0.500 [1 per cell]

=====

Short version: P) is the most stable of them.